#P
Entry from Alexandria: a relaxed structure of RbCr2I (PBE).

Unit cell a=5.6605 b=5.6605 c=11.2936 alpha=75.49 beta=75.49 gamma=90.00
Last column: nearest neighbours and their distance in Å.
Sites, in units of the cell vectors:
Rb  0.5000  0.5000  0.0000  4 I 4.00, 8 Cr 4.12
Rb  0.2500  0.7500  0.5000  4 I 4.00, 8 Cr 4.12
Cr  0.8750  0.6250  0.2500  2 Cr 2.83, 2 I 3.00
Cr  0.8750  0.1250  0.2500  2 Cr 2.83, 2 I 3.00
Cr  0.8750  0.1250  0.7500  2 Cr 2.83, 2 I 3.00
Cr  0.3750  0.1250  0.7500  2 Cr 2.83, 2 I 3.00
I  0.0000  0.0000  0.0000  4 Cr 3.00
I  0.7500  0.2500  0.5000  4 Cr 3.00

- SG: I4_1/amd (141)
- DOS at the Fermi energy: 1.2 states/eV per cell
- Magnetic moment: 20.0 Bohr magnetons per cell

=====

#Q
Entry from Alexandria: a relaxed structure of RbCr2I (PBE).

Unit cell a=4.7185 b=4.7185 c=4.7185 alpha=60.00 beta=60.00 gamma=60.00
Last column: nearest neighbours and their distance in Å.
Sites, in units of the cell vectors:
Cr  0.2500  0.2500  0.2500  4 I 2.89, 4 Rb 2.89
Cr  0.7500  0.7500  0.7500  4 Rb 2.89, 4 I 2.89
Rb  0.0000  0.0000  0.0000  8 Cr 2.89
I  0.5000  0.5000  0.5000  8 Cr 2.89

- SG: Fm-3m (225)
- DOS at the Fermi energy: 12.6 states/eV per cell
- Magnetic moment: 0.0 Bohr magnetons per cell

=====

Bottom line: #P, by a margin of 1.247 eV/atom.

=====

#P
Entry from Alexandria: a relaxed structure of RbCr2I2 (PBE).

Unit cell a=5.5542 b=5.5542 c=6.2799 alpha=63.75 beta=63.75 gamma=90.00
Last column: nearest neighbours and their distance in Å.
Sites, in units of the cell vectors:
Cr  0.5879  0.5879  0.8243  1 Cr 1.72
Cr  0.4121  0.4121  0.1757  1 Cr 1.72
Rb  0.0000  0.0000  0.0000  8 I 3.70, 10 Cr 4.02-4.04
I  0.2500  0.7500  0.5000  4 Cr 3.20
I  0.7500  0.2500  0.5000  4 Cr 3.20

- SG: I4/mmm (139)
- DOS at the Fermi energy: 3.9 states/eV per cell
- Magnetic moment: 0.0 Bohr magnetons per cell

=====

#Q
Entry from Alexandria: a relaxed structure of RbCr2I2 (PBE).

Unit cell a=8.8634 b=8.8634 c=4.7415 alpha=90.00 beta=90.00 gamma=90.00
Last column: nearest neighbours and their distance in Å.
Sites, in units of the cell vectors:
Rb  0.5000  0.5000  0.0000  4 Cr 3.86, 8 I 4.08
Rb  0.0000  0.0000  0.0000  4 Cr 3.86, 8 I 4.08
I  0.8376  0.6624  0.5000  2 Cr 2.64
I  0.1624  0.3376  0.5000  2 Cr 2.64
I  0.3376  0.8376  0.5000  2 Cr 2.64
I  0.6624  0.1624  0.5000  2 Cr 2.64
Cr  0.0696  0.4304  0.0000  1 Cr 1.75
Cr  0.5696  0.0696  0.0000  1 Cr 1.75
Cr  0.9304  0.5696  0.0000  1 Cr 1.75
Cr  0.4304  0.9304  0.0000  1 Cr 1.75

- SG: P4/mbm (127)
- DOS at the Fermi energy: 2.3 states/eV per cell
- Magnetic moment: 2.0 Bohr magnetons per cell

=====

Bottom line: #Q, by a margin of 0.024 eV/atom.